Material: PaCr2Si2C
Method: DFT, GGA-PBE
State: optimized geometry

Total DFT energy (no corrections) = -0.63495 Ry per atom
DOS(E_F) = 0.91 states/eV per atom
Formation energy without anion corrections = -11.61 kcal/mol of atoms

Unit cell a=3.9898 b=3.9898 c=5.1430 alpha=90.00 beta=90.00 gamma=90.00
Last column: nearest neighbours and their distance in Å.
Element x y z (fractional)
Si1 0.5000 0.5000 0.7277  1 Si 2.34, 4 Cr 2.44
Pa1 0.0000 0.0000 0.5000  2 C 2.57
C1 0.0000 0.0000 0.0000  4 Cr 1.99
Cr1 0.5000 0.0000 0.0000  2 C 1.99
Si2 0.5000 0.5000 0.2723  1 Si 2.34, 4 Cr 2.44
Cr2 0.0000 0.5000 0.0000  2 C 1.99